Nd4Er2Tm | PBE | optimized geometry

Lattice parameters (Å, degrees): 12.545 6.796 13.518 67.08 29.93 82.99
Atoms (fractional coordinates):
1 Nd 0.018 0.982 0.123
2 Nd 0.127 0.373 0.232
3 Nd 0.373 0.127 0.268
4 Nd 0.458 0.605 0.254
5 Nd 0.567 0.996 0.645
6 Nd 0.605 0.458 0.683
7 Nd 0.982 0.018 0.877
8 Nd 0.996 0.567 0.792
9 Er 0.066 0.547 0.002
10 Er 0.248 0.865 0.184
11 Er 0.547 0.066 0.385
12 Er 0.865 0.248 0.703
13 Tm 0.496 0.496 0.504
14 Tm 0.746 0.746 0.754

Calculated values
raw total energy = -4.61 eV per atom
mass density = 7.67 g/cm3
formation energy from the elements = 5.7 kJ/mol of atoms
energy above the lowest structure with this stoichiometry = 0.00 eV/f.u.
total moment = 0.0 μB/f.u.

Nd2Er5Tm4 | PBE | optimized geometry

Lattice parameters (Å, degrees): 3.532 8.645 11.704 75.73 81.33 89.96
Atoms (fractional coordinates):
1 Nd 0.090 0.227 0.318
2 Nd 0.910 0.773 0.682
3 Er 0.000 0.500 0.500
4 Er 0.272 0.683 0.956
5 Er 0.363 0.407 0.774
6 Er 0.637 0.593 0.226
7 Er 0.728 0.317 0.044
8 Tm 0.182 0.954 0.135
9 Tm 0.453 0.139 0.594
10 Tm 0.547 0.861 0.406
11 Tm 0.818 0.046 0.865

Calculated values
raw total energy = -4.54 eV per atom
mass density = 8.74 g/cm3
formation energy from the elements = 2.4 kJ/mol of atoms
energy above the lowest structure with this stoichiometry = 0.00 eV/f.u.
total moment = 0.0 μB/f.u.

Nd4ErTm10 | PBE | optimized geometry

Lattice parameters (Å, degrees): 8.841 8.841 8.841 101.55 101.55 126.84
Atoms (fractional coordinates):
1 Nd 0.227 0.772 0.999
2 Nd 0.228 0.227 0.454
3 Nd 0.772 0.773 0.546
4 Nd 0.773 0.228 0.001
5 Er 0.000 0.000 0.000
6 Tm 0.086 0.295 0.792
7 Tm 0.250 0.750 0.500
8 Tm 0.294 0.086 0.792
9 Tm 0.295 0.502 0.208
10 Tm 0.498 0.706 0.792
11 Tm 0.502 0.294 0.208
12 Tm 0.705 0.498 0.792
13 Tm 0.706 0.914 0.208
14 Tm 0.750 0.250 0.500
15 Tm 0.914 0.705 0.208

Calculated values
raw total energy = -4.28 eV per atom
mass density = 8.17 g/cm3
formation energy from the elements = 26.9 kJ/mol of atoms
total moment = 0.0 μB/f.u.

Nd3Er5Tm4 | PBE | optimized geometry

Lattice parameters (Å, degrees): 9.255 9.255 8.661 114.98 114.98 35.67
Atoms (fractional coordinates):
1 Nd 0.000 0.000 0.000
2 Nd 0.315 0.315 0.772
3 Nd 0.685 0.685 0.228
4 Er 0.094 0.094 0.440
5 Er 0.162 0.162 0.893
6 Er 0.500 0.500 0.000
7 Er 0.838 0.838 0.107
8 Er 0.906 0.906 0.560
9 Tm 0.291 0.291 0.354
10 Tm 0.462 0.462 0.303
11 Tm 0.538 0.538 0.697
12 Tm 0.709 0.709 0.646

Calculated values
raw total energy = -4.30 eV per atom
mass density = 8.33 g/cm3
formation energy from the elements = 27.4 kJ/mol of atoms
energy above the lowest structure with this stoichiometry = 3.14 eV/f.u.
total moment = 0.2 μB/f.u.

NdEr5Tm4 | PBE | optimized geometry

Lattice parameters (Å, degrees): 3.523 9.302 9.909 105.48 90.05 100.91
Atoms (fractional coordinates):
1 Nd 0.000 0.000 0.000
2 Er 0.000 0.000 0.500
3 Er 0.200 0.399 0.599
4 Er 0.201 0.401 0.101
5 Er 0.799 0.599 0.899
6 Er 0.800 0.601 0.401
7 Tm 0.399 0.798 0.202
8 Tm 0.399 0.798 0.697
9 Tm 0.601 0.202 0.303
10 Tm 0.601 0.202 0.798

Calculated values
raw total energy = -4.52 eV per atom
mass density = 8.96 g/cm3
formation energy from the elements = 2.4 kJ/mol of atoms
energy above the lowest structure with this stoichiometry = 0.00 eV/f.u.
total moment = 0.0 μB/f.u.

NdErTm4 | PBE | optimized geometry

Lattice parameters (Å, degrees): 8.495 8.495 6.477 101.39 101.39 118.24
Atoms (fractional coordinates):
1 Nd 0.010 0.990 0.750
2 Nd 0.990 0.010 0.250
3 Er 0.413 0.587 0.750
4 Er 0.587 0.413 0.250
5 Tm 0.110 0.709 0.457
6 Tm 0.174 0.427 0.111
7 Tm 0.291 0.890 0.043
8 Tm 0.427 0.174 0.611
9 Tm 0.573 0.826 0.389
10 Tm 0.709 0.110 0.957
11 Tm 0.826 0.573 0.889
12 Tm 0.890 0.291 0.543

Calculated values
raw total energy = -4.37 eV per atom
mass density = 8.63 g/cm3
formation energy from the elements = 15.9 kJ/mol of atoms
energy above the lowest structure with this stoichiometry = 0.83 eV/f.u.
total moment = 0.0 μB/f.u.